Entry 1:
Material: YCr2GaI
Method: DFT, PBE
State: optimized geometry

Formation energy from raw total energies   1211 meV per atom
Total DFT energy (no corrections)   -4.846 eV per atom
Total moment   8.96 μB/f.u.

a b c (Å): 5.5500 5.5500 5.8133
angles (deg): 90.00 90.00 90.00
Space group P4/mmm (No. 123)
One atom of each set of equivalent atoms:
Y: 0.0000 0.0000 0.0000 x1
Cr: 0.0000 0.5000 0.0000 x2
Ga: 0.5000 0.5000 0.5000 x1
I: 0.0000 0.0000 0.5000 x1

Entry 2:
Material: CrIn3Ga
Method: DFT, PBE
State: optimized geometry

DFT formation energy   0.462 eV per atom
Polymorph energy (0 for the lowest one)   0.000 eV per atom
Total DFT energy (no corrections)   -3.711 eV per atom
Total moment   1.90 μB/f.u.

a b c (Å): 5.1720 5.1720 5.1720
angles (deg): 90.00 90.00 90.00
Space group Pm-3m (No. 221)
One atom of each set of equivalent atoms:
Cr: 0.0000 0.0000 0.0000 x1
In: 0.0000 0.0000 0.5000 x3
Ga: 0.5000 0.5000 0.5000 x1

Entry 3:
Material: Cr2InGa2
Method: DFT, PBE
State: optimized geometry

DFT formation energy   0.165 eV per atom
Polymorph energy (0 for the lowest one)   0.000 eV per atom
Total DFT energy (no corrections)   -5.443 eV per atom
Total moment   5.83 μB/f.u.

a b c (Å): 7.3751 7.3751 2.9972
angles (deg): 90.00 90.00 90.00
Space group P4/mbm (No. 127)
One atom of each set of equivalent atoms:
Cr: 0.1747 0.3253 0.0000 x4
In: 0.0000 0.0000 0.5000 x2
Ga: 0.1232 0.6232 0.5000 x4

Entry 4:
Material: CrIn2Ga2
Method: DFT, PBE
State: optimized geometry

DFT formation energy   0.429 eV per atom
Total DFT energy (no corrections)   -3.802 eV per atom
Total moment   0.00 μB/f.u.

a b c (Å): 6.8467 6.8467 4.0996
angles (deg): 90.00 90.00 90.00
Space group P4/mbm (No. 127)
One atom of each set of equivalent atoms:
Cr: 0.0000 0.0000 0.0000 x2
In: 0.1609 0.3391 0.5000 x4
Ga: 0.1531 0.6531 0.0000 x4

Entry 5:
Material: Cr2InGa2
Method: DFT, PBE
State: optimized geometry

DFT formation energy   0.228 eV per atom
Polymorph energy (0 for the lowest one)   0.064 eV per atom
Total DFT energy (no corrections)   -5.379 eV per atom
Total moment   0.00 μB/f.u.

a b c (Å): 7.1110 7.1110 3.1110
angles (deg): 90.00 90.00 90.00
Space group P4/mbm (No. 127)
One atom of each set of equivalent atoms:
Cr: 0.1060 0.3940 0.0000 x4
In: 0.0000 0.0000 0.0000 x2
Ga: 0.1812 0.6812 0.5000 x4

Entry 6:
Material: CrIn3Ga
Method: DFT, PBE
State: optimized geometry

DFT formation energy   0.695 eV per atom
Polymorph energy (0 for the lowest one)   0.233 eV per atom
Total DFT energy (no corrections)   -3.478 eV per atom
Total moment   4.90 μB/f.u.

a b c (Å): 5.3022 5.3022 5.3022
angles (deg): 90.00 90.00 90.00
Space group Pm-3m (No. 221)
One atom of each set of equivalent atoms:
Cr: 0.0000 0.0000 0.0000 x1
In: 0.0000 0.5000 0.5000 x3
Ga: 0.5000 0.5000 0.5000 x1

Entry 7:
Material: KCr2InGa
Method: DFT, PBE
State: optimized geometry

DFT formation energy   0.912 eV per atom
Total DFT energy (no corrections)   -4.310 eV per atom
Total moment   9.22 μB/f.u.

a b c (Å): 5.4037 5.4037 5.4453
angles (deg): 90.00 90.00 90.00
Space group P4/mmm (No. 123)
One atom of each set of equivalent atoms:
K: 0.0000 0.0000 0.0000 x1
Cr: 0.0000 0.5000 0.5000 x2
In: 0.5000 0.5000 0.5000 x1
Ga: 0.5000 0.5000 0.0000 x1

Entry 8:
Material: LiCrInGa
Method: DFT, PBE
State: optimized geometry

DFT formation energy   -0.025 eV per atom
Total DFT energy (no corrections)   -4.350 eV per atom
Total moment   3.60 μB/f.u.

a b c (Å): 6.4752 6.4752 6.4752
angles (deg): 90.00 90.00 90.00
Space group F-43m (No. 216)
One atom of each set of equivalent atoms:
Li: 0.0000 0.0000 0.0000 x4
Cr: 0.0000 0.0000 0.5000 x4
In: 0.2500 0.2500 0.7500 x4
Ga: 0.2500 0.2500 0.2500 x4

| no. | calculated density (g/cm³) | density of states at the Fermi level (states/eV per cell) |
| --- | --- | --- |
| 1 | 3.61 | 2.2 |
| 2 | 5.60 | 4.3 |
| 3 | 7.30 | 3.3 |
| 4 | 7.28 | 7.7 |
| 5 | 7.56 | 9.5 |
| 6 | 5.19 | 2.1 |
| 7 | 3.42 | 2.7 |
| 8 | 5.96 | 6.9 |